# 1
HoPuTe2Cl PBE optimized geometry; uncorrected formation energy = -1.39 eV per atom; density = 8.06 g/cm3; SG = P4/nmm (129); calculated volume = 288.4 Å³/cell
1.0
4.372 0.000 0.000
0.000 4.372 0.000
0.000 0.000 15.087
Ho Pu Te Cl
2 2 4 2
Direct
0.250 0.250 0.094
0.750 0.750 0.906
0.250 0.250 0.628
0.750 0.750 0.372
0.250 0.250 0.296
0.250 0.250 0.888
0.750 0.750 0.112
0.750 0.750 0.704
0.250 0.750 0.500
0.750 0.250 0.500

=====

# 2
HoPuTlCl6 PBE optimized geometry; uncorrected formation energy = -1.84 eV per atom; density = 4.41 g/cm3; SG = P-31c (163); calculated volume = 621.6 Å³/cell
1.0
7.163 0.000 0.000
-3.582 6.204 0.000
0.000 0.000 13.988
Ho Pu Tl Cl
2 2 2 12
Direct
0.333 0.667 0.250
0.667 0.333 0.750
0.333 0.667 0.750
0.667 0.333 0.250
0.000 0.000 0.000
0.000 0.000 0.500
0.019 0.377 0.140
0.019 0.642 0.360
0.358 0.377 0.360
0.358 0.981 0.140
0.377 0.019 0.640
0.377 0.358 0.860
0.623 0.642 0.140
0.623 0.981 0.360
0.642 0.019 0.860
0.642 0.623 0.640
0.981 0.358 0.640
0.981 0.623 0.860

=====

# 3
RbHoCl4 PBE optimized geometry; uncorrected formation energy = -2.13 eV per atom; density = 3.30 g/cm3; SG = C2/m (12); calculated volume = 394.5 Å³/cell; E above lowest polymorph = 39 meV per atom
1.0
7.562 -3.674 0.000
7.562 3.674 0.000
-0.282 0.000 7.099
Rb Ho Cl
2 2 8
Direct
0.214 0.214 0.266
0.786 0.786 0.734
0.465 0.465 0.725
0.535 0.535 0.275
0.183 0.616 0.437
0.259 0.741 0.000
0.305 0.305 0.837
0.384 0.817 0.563
0.616 0.183 0.437
0.695 0.695 0.163
0.741 0.259 0.000
0.817 0.384 0.563

=====

# 4
RbHoCl4 PBE optimized geometry; uncorrected formation energy = -2.17 eV per atom; density = 2.99 g/cm3; SG = Cmmm (65); calculated volume = 217.6 Å³/cell; E above lowest polymorph = 0 meV per atom
1.0
5.027 -5.209 0.000
5.027 5.209 0.000
0.000 0.000 4.155
Rb Ho Cl
1 1 4
Direct
0.000 0.000 0.000
0.500 0.500 0.500
0.244 0.244 0.500
0.333 0.667 0.000
0.667 0.333 0.000
0.756 0.756 0.500